Density functional theory data (PBE) for an optimized crystal structure of TaAsPb3.

Geometry as POSCAR:
```
TaAsPb3
1.0
5.5074 0.0000 0.0000
0.0000 5.5074 0.0000
0.0000 0.0000 5.5074
Pb As Ta
3 1 1
Direct
0.0000 0.5000 0.0000
0.0000 0.0000 0.5000
0.5000 0.0000 0.0000
0.5000 0.5000 0.5000
0.0000 0.0000 0.0000
```

Energy of formation ... 0.8421 eV per atom
Magnetic moment ... 0.270 μB/atom
DOS at the Fermi energy ... 6.91 states/eV/cell
E ... -23.42 eV for the cell shown